LaYAg: optimized geometry, PBE-GGA.

The density of states at the Fermi level is 20.7 states/eV per cell. As for the total magnetic moment: 0.0894 μB/atom. The energy relative to the lowest polymorph listed for this composition comes out at 0.707 eV/f.u.

The structure belongs to space group F-43m (No. 216); the cell edges are 7.308, 7.308 and 7.308 Å and the angles 90.00°, 90.00° and 90.00°. The inequivalent atoms are La at (0.000, 0.000, 0.000), Y at (0.000, 0.000, 0.500) and Ag at (0.250, 0.250, 0.750).


LaYAg: optimized geometry, PBE-GGA.

The density of states at the Fermi level is 13.5 states/eV per cell. As for the total magnetic moment: 0.0000 μB/atom. The energy relative to the lowest polymorph listed for this composition comes out at 0.000 eV/f.u.

The structure belongs to space group C2/m (No. 12); the cell edges are 17.083, 3.733 and 5.550 Å and the angles 90.00°, 90.08° and 90.00°. The inequivalent atoms are La at (0.079, 0.000, 0.249), Y at (0.227, 0.000, 0.750) and Ag at (0.086, 0.500, 0.748).


LaYAg4: optimized geometry, PBE-GGA.

The density of states at the Fermi level is 5.9 states/eV per cell. As for the total magnetic moment: 0.0000 μB/atom. The energy relative to the lowest polymorph listed for this composition comes out at 0.000 eV/f.u.

The structure belongs to space group Cmmm (No. 65); the cell edges are 5.416, 9.503 and 5.417 Å and the angles 90.00°, 90.00° and 90.00°. The inequivalent atoms are La at (0.000, 0.000, 0.000), Y at (0.000, 0.500, 0.500), Ag at (0.000, 0.177, 0.500) and Ag at (0.000, 0.332, 0.000).


LaY2Ag2: optimized geometry, PBE-GGA.

The density of states at the Fermi level is 9.8 states/eV per cell. As for the total magnetic moment: 0.1516 μB/atom. The energy relative to the lowest polymorph listed for this composition comes out at 0.404 eV/f.u.

The structure belongs to space group P4/mbm (No. 127); the cell edges are 8.749, 8.749 and 3.461 Å and the angles 90.00°, 90.00° and 90.00°. The inequivalent atoms are La at (0.000, 0.000, 0.000), Y at (0.141, 0.359, 0.000) and Ag at (0.155, 0.655, 0.500).


- energy relative to the lowest polymorph listed for this composition of number 2 (LaYAg)?
  0.000 eV/f.u.